(1)
# ZrTl2Ge

An optimized crystal structure of ZrTl2Ge (PBE-GGA, the Alexandria database).

## Properties
DFT formation energy	0.98	eV/f.u.
excess energy over the best structure of this formula in the dataset	0	meV per atom

Unit cell a=6.4753 b=6.4753 c=6.4753 alpha=101.98 beta=101.98 gamma=125.80
Closest atoms and distances in Å follow each position.
Fractional coordinates of all 8 atoms:
Zr 0.0000 0.0000 0.0000  2 Ge 2.95, 4 Tl 3.07
Zr 0.7500 0.2500 0.5000  2 Ge 2.95, 4 Tl 3.07
Tl 0.1419 0.6250 0.0169  2 Ge 2.88, 2 Tl 2.96, 2 Zr 3.07
Tl 0.3750 0.3919 0.5169  2 Ge 2.88, 2 Tl 2.96, 2 Zr 3.07
Tl 0.6081 0.1250 0.9831  2 Ge 2.88, 2 Tl 2.96, 2 Zr 3.07
Tl 0.8750 0.8581 0.4831  2 Ge 2.88, 2 Tl 2.96, 2 Zr 3.07
Ge 0.2500 0.7500 0.5000  4 Tl 2.88, 2 Zr 2.95
Ge 0.5000 0.5000 0.0000  4 Tl 2.88, 2 Zr 2.95

***

(2)
# Tm5Ge3

An optimized crystal structure of Tm5Ge3 (PBE-GGA, the Alexandria database).

## Properties
DFT formation energy	-5.82	eV/f.u.
excess energy over the best structure of this formula in the dataset	78	meV per atom

Unit cell a=8.4825 b=8.4825 c=8.4825 alpha=126.32 beta=126.32 gamma=79.37
Closest atoms and distances in Å follow each position.
Fractional coordinates of all 16 atoms:
Tm 0.0000 0.0000 0.0000  6 Ge 2.94-3.26
Tm 0.0126 0.5126 0.8173  5 Ge 2.87-3.19
Tm 0.1952 0.0126 0.5000  5 Ge 2.87-3.19
Tm 0.3048 0.8048 0.8173  5 Ge 2.87-3.19
Tm 0.4874 0.3048 0.5000  5 Ge 2.87-3.19
Tm 0.5000 0.5000 0.0000  6 Ge 2.94-3.26
Tm 0.5126 0.6952 0.5000  5 Ge 2.87-3.19
Tm 0.6952 0.1952 0.1827  5 Ge 2.87-3.19
Tm 0.8048 0.9874 0.5000  5 Ge 2.87-3.19
Tm 0.9874 0.4874 0.1827  5 Ge 2.87-3.19
Ge 0.1438 0.3562 0.5000  8 Tm 2.87-3.00, 1 Ge 3.12
Ge 0.2500 0.2500 0.0000  10 Tm 3.19-3.26
Ge 0.3562 0.8562 0.2124  8 Tm 2.87-3.00, 1 Ge 3.12
Ge 0.6438 0.1438 0.7876  8 Tm 2.87-3.00, 1 Ge 3.12
Ge 0.7500 0.7500 0.0000  10 Tm 3.19-3.26
Ge 0.8562 0.6438 0.5000  8 Tm 2.87-3.00, 1 Ge 3.12

***

(3)
# Tm5Ge6

An optimized crystal structure of Tm5Ge6 (PBE-GGA, the Alexandria database).

## Properties
DFT formation energy	-8.04	eV/f.u.

Unit cell a=14.6346 b=14.6346 c=4.1614 alpha=90.00 beta=90.00 gamma=164.46
Closest atoms and distances in Å follow each position.
Fractional coordinates of all 11 atoms:
Tm 0.0000 0.0000 0.0000  8 Ge 3.12
Tm 0.2001 0.7999 0.5000  7 Ge 2.83-3.16
Tm 0.3844 0.6156 0.0000  7 Ge 2.90-2.97
Tm 0.6156 0.3844 0.0000  7 Ge 2.90-2.97
Tm 0.7999 0.2001 0.5000  7 Ge 2.83-3.16
Ge 0.1024 0.8976 0.5000  2 Ge 2.64, 5 Tm 2.83-2.90
Ge 0.2822 0.7178 0.0000  2 Ge 2.72, 5 Tm 2.92-2.97
Ge 0.4576 0.5424 0.5000  3 Ge 2.46-2.64
Ge 0.5424 0.4576 0.5000  3 Ge 2.46-2.64
Ge 0.7178 0.2822 0.0000  2 Ge 2.72, 5 Tm 2.92-2.97
Ge 0.8976 0.1024 0.5000  2 Ge 2.64, 5 Tm 2.83-2.90

***

(4)
# Tm2Ge3

An optimized crystal structure of Tm2Ge3 (PBE-GGA, the Alexandria database).

## Properties
DFT formation energy	-2.29	eV/f.u.
excess energy over the best structure of this formula in the dataset	244	meV per atom

Unit cell a=6.8895 b=4.3901 c=4.3901 alpha=59.86 beta=90.00 gamma=90.00
Closest atoms and distances in Å follow each position.
Fractional coordinates of all 5 atoms:
Tm 0.2319 0.0000 0.0000  9 Ge 2.99-3.14, 1 Tm 3.20
Tm 0.7681 0.0000 0.0000  9 Ge 2.99-3.14, 1 Tm 3.20
Ge 0.0000 0.6671 0.6671  6 Tm 2.99-3.00
Ge 0.5000 0.3336 0.3336  3 Ge 2.53
Ge 0.5000 0.6664 0.6664  3 Ge 2.53

***

(5)
# Tm4Ge3

An optimized crystal structure of Tm4Ge3 (PBE-GGA, the Alexandria database).

## Properties
DFT formation energy	-5.94	eV/f.u.

Unit cell a=7.5438 b=7.5438 c=7.5438 alpha=109.47 beta=109.47 gamma=109.47
Closest atoms and distances in Å follow each position.
Fractional coordinates of all 14 atoms:
Tm 0.0000 0.3674 0.5000  6 Ge 2.86-3.18
Tm 0.0000 0.8674 0.5000  6 Ge 2.86-3.18
Tm 0.1326 0.1326 0.1326  6 Ge 2.86-3.18
Tm 0.3674 0.5000 0.0000  6 Ge 2.86-3.18
Tm 0.5000 0.0000 0.3674  6 Ge 2.86-3.18
Tm 0.5000 0.0000 0.8674  6 Ge 2.86-3.18
Tm 0.6326 0.6326 0.6326  6 Ge 2.86-3.18
Tm 0.8674 0.5000 0.0000  6 Ge 2.86-3.18
Ge 0.1250 0.7500 0.8750  8 Tm 2.86-3.18
Ge 0.2500 0.6250 0.3750  8 Tm 2.86-3.18
Ge 0.3750 0.2500 0.6250  8 Tm 2.86-3.18
Ge 0.6250 0.3750 0.2500  8 Tm 2.86-3.18
Ge 0.7500 0.8750 0.1250  8 Tm 2.86-3.18
Ge 0.8750 0.1250 0.7500  8 Tm 2.86-3.18

***

(6)
# TmGe5

An optimized crystal structure of TmGe5 (PBE-GGA, the Alexandria database).

## Properties
DFT formation energy	-0.55	eV/f.u.

Unit cell a=7.2545 b=7.2545 c=4.0421 alpha=90.00 beta=90.00 gamma=146.01
Closest atoms and distances in Å follow each position.
Fractional coordinates of all 6 atoms:
Tm 0.0000 0.0000 0.0000  12 Ge 2.93-3.17
Ge 0.1762 0.8238 0.5000  10 Ge 2.94-3.24, 2 Tm 3.17
Ge 0.3413 0.6587 0.0000  8 Ge 2.94-3.06, 2 Tm 3.06
Ge 0.5000 0.5000 0.5000  4 Tm 2.93, 8 Ge 2.99-3.24
Ge 0.6587 0.3413 0.0000  8 Ge 2.94-3.06, 2 Tm 3.06
Ge 0.8238 0.1762 0.5000  10 Ge 2.94-3.24, 2 Tm 3.17

***

(7)
# Tm2Ge3

An optimized crystal structure of Tm2Ge3 (PBE-GGA, the Alexandria database).

## Properties
DFT formation energy	-3.22	eV/f.u.
excess energy over the best structure of this formula in the dataset	59	meV per atom

Unit cell a=7.2310 b=7.2310 c=4.0968 alpha=90.00 beta=90.00 gamma=90.00
Closest atoms and distances in Å follow each position.
Fractional coordinates of all 10 atoms:
Tm 0.1786 0.3214 0.0000  6 Ge 2.87-3.02
Tm 0.3214 0.8214 0.0000  6 Ge 2.87-3.02
Tm 0.6786 0.1786 0.0000  6 Ge 2.87-3.02
Tm 0.8214 0.6786 0.0000  6 Ge 2.87-3.02
Ge 0.0000 0.0000 0.5000  4 Ge 2.86
Ge 0.1242 0.6242 0.5000  1 Ge 2.54
Ge 0.3758 0.1242 0.5000  1 Ge 2.54
Ge 0.5000 0.5000 0.5000  4 Ge 2.86
Ge 0.6242 0.8758 0.5000  1 Ge 2.54
Ge 0.8758 0.3758 0.5000  1 Ge 2.54

***

(8)
# TmGe4

An optimized crystal structure of TmGe4 (PBE-GGA, the Alexandria database).

## Properties
DFT formation energy	4.07	eV/f.u.

Unit cell a=5.2982 b=5.2982 c=5.2982 alpha=90.00 beta=90.00 gamma=90.00
Closest atoms and distances in Å follow each position.
Fractional coordinates of all 5 atoms:
Tm 0.0000 0.0000 0.0000  6 Ge 2.65
Ge 0.0000 0.0000 0.5000  2 Tm 2.65
Ge 0.0000 0.5000 0.0000  2 Tm 2.65
Ge 0.5000 0.0000 0.0000  2 Tm 2.65
Ge 0.5000 0.5000 0.5000  12 Ge 3.75

***

(9)
# TmGe6

An optimized crystal structure of TmGe6 (PBE-GGA, the Alexandria database).

## Properties
DFT formation energy	2.10	eV/f.u.

Unit cell a=6.1066 b=6.1066 c=6.1066 alpha=109.47 beta=109.47 gamma=109.47
Closest atoms and distances in Å follow each position.
Fractional coordinates of all 7 atoms:
Tm 0.0000 0.0000 0.0000  24 Ge 3.94
Ge 0.2500 0.5000 0.7500  4 Ge 2.49
Ge 0.2500 0.7500 0.5000  4 Ge 2.49
Ge 0.5000 0.2500 0.7500  4 Ge 2.49
Ge 0.5000 0.7500 0.2500  4 Ge 2.49
Ge 0.7500 0.2500 0.5000  4 Ge 2.49
Ge 0.7500 0.5000 0.2500  4 Ge 2.49

***

(10)
# Tm5Ge3

An optimized crystal structure of Tm5Ge3 (PBE-GGA, the Alexandria database).

## Properties
DFT formation energy	-6.45	eV/f.u.
excess energy over the best structure of this formula in the dataset	0	meV per atom

Unit cell a=8.3757 b=8.3757 c=6.2903 alpha=90.00 beta=90.00 gamma=120.00
Closest atoms and distances in Å follow each position.
Fractional coordinates of all 16 atoms:
Tm 0.0000 0.2411 0.2500  3 Ge 2.88-3.06
Tm 0.0000 0.7589 0.7500  3 Ge 2.88-3.06
Tm 0.2411 0.0000 0.2500  3 Ge 2.88-3.06
Tm 0.2411 0.2411 0.7500  3 Ge 2.88-3.06
Tm 0.3333 0.6667 0.0000  6 Ge 3.02, 2 Tm 3.15
Tm 0.3333 0.6667 0.5000  6 Ge 3.02, 2 Tm 3.15
Tm 0.6667 0.3333 0.0000  6 Ge 3.02, 2 Tm 3.15
Tm 0.6667 0.3333 0.5000  6 Ge 3.02, 2 Tm 3.15
Tm 0.7589 0.0000 0.7500  3 Ge 2.88-3.06
Tm 0.7589 0.7589 0.2500  3 Ge 2.88-3.06
Ge 0.0000 0.3939 0.7500  7 Tm 2.88-3.06
Ge 0.0000 0.6061 0.2500  7 Tm 2.88-3.06
Ge 0.3939 0.0000 0.7500  7 Tm 2.88-3.06
Ge 0.3939 0.3939 0.2500  7 Tm 2.88-3.06
Ge 0.6061 0.0000 0.2500  7 Tm 2.88-3.06
Ge 0.6061 0.6061 0.7500  7 Tm 2.88-3.06

***

(11)
# TmGe3

An optimized crystal structure of TmGe3 (PBE-GGA, the Alexandria database).

## Properties
DFT formation energy	-1.29	eV/f.u.

Unit cell a=5.6303 b=5.6303 c=5.6303 alpha=137.77 beta=137.77 gamma=61.25
Closest atoms and distances in Å follow each position.
Fractional coordinates of all 4 atoms:
Tm 0.0000 0.0000 0.0000  12 Ge 2.87-3.16
Ge 0.2500 0.7500 0.5000  8 Ge 2.87-3.16, 4 Tm 3.16
Ge 0.5000 0.5000 0.0000  4 Tm 2.87, 8 Ge 3.16
Ge 0.7500 0.2500 0.5000  8 Ge 2.87-3.16, 4 Tm 3.16

***

(12)
# Tm2Ge3

An optimized crystal structure of Tm2Ge3 (PBE-GGA, the Alexandria database).

## Properties
DFT formation energy	-3.51	eV/f.u.
excess energy over the best structure of this formula in the dataset	0	meV per atom

Unit cell a=5.5843 b=5.5843 c=5.5843 alpha=137.64 beta=110.19 gamma=85.18
Closest atoms and distances in Å follow each position.
Fractional coordinates of all 5 atoms:
Tm 0.2250 0.2250 0.0000  8 Ge 2.97-3.03
Tm 0.7750 0.7750 0.0000  8 Ge 2.97-3.03
Ge 0.1995 0.5000 0.6995  3 Ge 2.55-2.79
Ge 0.5000 0.0000 0.5000  4 Ge 2.79, 4 Tm 3.03
Ge 0.8005 0.5000 0.3005  3 Ge 2.55-2.79

***

(13)
# TmGe3

An optimized crystal structure of TmGe3 (PBE-GGA, the Alexandria database).

## Properties
DFT formation energy	-1.74	eV/f.u.

Unit cell a=4.0168 b=3.9069 c=10.5353 alpha=90.00 beta=100.97 gamma=90.00
Closest atoms and distances in Å follow each position.
Fractional coordinates of all 8 atoms:
Tm 0.0813 0.2500 0.1630  10 Ge 2.93-3.23
Tm 0.9187 0.7500 0.8370  10 Ge 2.93-3.23
Ge 0.1905 0.7500 0.3800  5 Ge 2.52-2.81
Ge 0.3124 0.7500 0.6236  5 Ge 2.52-2.81
Ge 0.4593 0.2500 0.9187  2 Ge 2.58
Ge 0.5407 0.7500 0.0813  2 Ge 2.58
Ge 0.6876 0.2500 0.3764  5 Ge 2.52-2.81
Ge 0.8095 0.2500 0.6200  5 Ge 2.52-2.81

***

(14)
# TmUGe2

An optimized crystal structure of TmUGe2 (PBE-GGA, the Alexandria database).

## Properties
DFT formation energy	-1.41	eV/f.u.
excess energy over the best structure of this formula in the dataset	13	meV per atom

Unit cell a=3.2954 b=3.2954 c=7.9181 alpha=90.00 beta=90.00 gamma=90.00
Closest atoms and distances in Å follow each position.
Fractional coordinates of all 4 atoms:
Tm 0.0000 0.0000 0.0000  8 Ge 3.05, 4 Tm 3.30
U 0.0000 0.0000 0.5000  8 Ge 3.07, 4 U 3.30
Ge 0.5000 0.5000 0.2481  4 Tm 3.05, 4 U 3.07, 4 Ge 3.30
Ge 0.5000 0.5000 0.7519  4 Tm 3.05, 4 U 3.07, 4 Ge 3.30

***

(15)
# TmUGe2

An optimized crystal structure of TmUGe2 (PBE-GGA, the Alexandria database).

## Properties
DFT formation energy	-1.46	eV/f.u.
excess energy over the best structure of this formula in the dataset	0	meV per atom

Unit cell a=6.9549 b=6.9549 c=6.9549 alpha=34.56 beta=34.56 gamma=34.56
Closest atoms and distances in Å follow each position.
Fractional coordinates of all 4 atoms:
Tm 0.0000 0.0000 0.0000  6 Ge 2.93
U 0.5000 0.5000 0.5000  6 Ge 2.85
Ge 0.2463 0.2463 0.2463  3 U 2.85, 3 Tm 2.93
Ge 0.7537 0.7537 0.7537  3 U 2.85, 3 Tm 2.93

***

(16)
# TmGe2W

An optimized crystal structure of TmGe2W (PBE-GGA, the Alexandria database).

## Properties
DFT formation energy	-0.44	eV/f.u.

Unit cell a=7.0106 b=7.0106 c=7.0106 alpha=30.61 beta=30.61 gamma=30.61
Closest atoms and distances in Å follow each position.
Fractional coordinates of all 4 atoms:
Tm 0.0000 0.0000 0.0000  6 Ge 2.83
Ge 0.2405 0.2405 0.2405  3 W 2.60, 3 Tm 2.83
Ge 0.7595 0.7595 0.7595  3 W 2.60, 3 Tm 2.83
W 0.5000 0.5000 0.5000  6 Ge 2.60

***

(17)
# YTm4Ge4

An optimized crystal structure of YTm4Ge4 (PBE-GGA, the Alexandria database).

## Properties
DFT formation energy	-5.17	eV/f.u.

Unit cell a=9.0987 b=9.0987 c=5.7289 alpha=90.00 beta=90.00 gamma=90.00
Closest atoms and distances in Å follow each position.
Fractional coordinates of all 18 atoms:
Y 0.2500 0.2500 0.2500  4 Ge 2.92
Y 0.7500 0.7500 0.7500  4 Ge 2.92
Tm 0.0866 0.6505 0.1384  5 Ge 2.89-2.95
Tm 0.1505 0.9134 0.6384  5 Ge 2.89-2.95
Tm 0.3495 0.5866 0.6384  5 Ge 2.89-2.95
Tm 0.4134 0.8495 0.1384  5 Ge 2.89-2.95
Tm 0.5866 0.1505 0.8616  5 Ge 2.89-2.95
Tm 0.6505 0.4134 0.3616  5 Ge 2.89-2.95
Tm 0.8495 0.0866 0.3616  5 Ge 2.89-2.95
Tm 0.9134 0.3495 0.8616  5 Ge 2.89-2.95
Ge 0.0327 0.6139 0.6428  1 Ge 2.71, 5 Tm 2.89-2.95, 1 Y 2.92
Ge 0.1139 0.9673 0.1428  1 Ge 2.71, 5 Tm 2.89-2.95, 1 Y 2.92
Ge 0.3861 0.5327 0.1428  1 Ge 2.71, 5 Tm 2.89-2.95, 1 Y 2.92
Ge 0.4673 0.8861 0.6428  1 Ge 2.71, 5 Tm 2.89-2.95, 1 Y 2.92
Ge 0.5327 0.1139 0.3572  1 Ge 2.71, 5 Tm 2.89-2.95, 1 Y 2.92
Ge 0.6139 0.4673 0.8572  1 Ge 2.71, 5 Tm 2.89-2.95, 1 Y 2.92
Ge 0.8861 0.0327 0.8572  1 Ge 2.71, 5 Tm 2.89-2.95, 1 Y 2.92
Ge 0.9673 0.3861 0.3572  1 Ge 2.71, 5 Tm 2.89-2.95, 1 Y 2.92

***

(18)
# YTmGe

An optimized crystal structure of YTmGe (PBE-GGA, the Alexandria database).

## Properties
DFT formation energy	-1.53	eV/f.u.

Unit cell a=5.8291 b=4.2479 c=7.3161 alpha=90.00 beta=110.25 gamma=90.00
Closest atoms and distances in Å follow each position.
Fractional coordinates of all 6 atoms:
Y 0.2163 0.2500 0.4156  4 Ge 2.91-3.07
Y 0.7837 0.7500 0.5844  4 Ge 2.91-3.07
Tm 0.2357 0.2500 0.9357  3 Ge 2.88-2.95
Tm 0.7643 0.7500 0.0643  3 Ge 2.88-2.95
Ge 0.3295 0.7500 0.7051  3 Tm 2.88-2.95, 4 Y 2.91-3.07
Ge 0.6705 0.2500 0.2949  3 Tm 2.88-2.95, 4 Y 2.91-3.07

***

(19)
# Y3TmGe4

An optimized crystal structure of Y3TmGe4 (PBE-GGA, the Alexandria database).

## Properties
DFT formation energy	-5.52	eV/f.u.

Unit cell a=8.6973 b=8.6973 c=8.6973 alpha=153.20 beta=137.30 gamma=51.13
Closest atoms and distances in Å follow each position.
Fractional coordinates of all 8 atoms:
Y 0.0000 0.0000 0.0000  8 Ge 3.13
Y 0.3045 0.8045 0.5000  6 Ge 2.97-2.99
Y 0.6955 0.1955 0.5000  6 Ge 2.97-2.99
Tm 0.5000 0.5000 0.0000  4 Ge 2.82
Ge 0.0641 0.3693 0.6948  1 Ge 2.47
Ge 0.3254 0.6307 0.6948  1 Ge 2.47
Ge 0.6746 0.3693 0.3052  1 Ge 2.47
Ge 0.9359 0.6307 0.3052  1 Ge 2.47

***

(20)
# YTmGe

An optimized crystal structure of YTmGe (PBE-GGA, the Alexandria database).

## Properties
DFT formation energy	-1.12	eV/f.u.

Unit cell a=6.6106 b=6.6106 c=8.5153 alpha=90.00 beta=90.00 gamma=90.00
Closest atoms and distances in Å follow each position.
Fractional coordinates of all 12 atoms:
Y 0.2027 0.2027 0.0000  3 Ge 2.82-2.85
Y 0.2973 0.7027 0.2500  3 Ge 2.82-2.85
Y 0.7027 0.2973 0.7500  3 Ge 2.82-2.85
Y 0.7973 0.7973 0.5000  3 Ge 2.82-2.85
Tm 0.1979 0.1979 0.5000  3 Ge 2.78-2.82
Tm 0.3021 0.6979 0.7500  3 Ge 2.78-2.82
Tm 0.6979 0.3021 0.2500  3 Ge 2.78-2.82
Tm 0.8021 0.8021 0.0000  3 Ge 2.78-2.82
Ge 0.0047 0.9953 0.7500  3 Tm 2.78-2.82, 3 Y 2.82-2.85
Ge 0.4953 0.4953 0.5000  3 Tm 2.78-2.82, 3 Y 2.82-2.85
Ge 0.5047 0.5047 0.0000  3 Tm 2.78-2.82, 3 Y 2.82-2.85
Ge 0.9953 0.0047 0.2500  3 Tm 2.78-2.82, 3 Y 2.82-2.85